Material: BaCaSmMnO6
Method: DFT, PBE with a Hubbard U
State: optimized geometry

Values from the calculation:
- Total energy: -68.8 eV/f.u.

Cell: 5.9050 5.9050 5.9050 Å, 60.00 60.00 60.00°
With the nearest neighbours (Å) after each atom.
Fractional coordinates of all 10 atoms:
Ba  0.7500  0.7500  0.7500  12 O 2.96
Ca  0.2500  0.2500  0.2500  12 O 2.96
Sm  0.5000  0.5000  0.5000  6 O 2.26
Mn  0.0000  0.0000  0.0000  6 O 1.91
O  0.2291  0.7709  0.2291  1 Mn 1.91
O  0.7709  0.2291  0.7709  1 Mn 1.91
O  0.2291  0.7709  0.7709  1 Mn 1.91
O  0.7709  0.2291  0.2291  1 Mn 1.91
O  0.2291  0.2291  0.7709  1 Mn 1.91
O  0.7709  0.7709  0.2291  1 Mn 1.91